{
  "formula": "Y2CuTe",
  "functional": "SCAN",
  "state": "PBEsol geometry",
  "formation_energy_uncorrected_ev_per_fu": -3.3,
  "spacegroup": "Amm2 (38)",
  "lattice_angstrom": [[4.086, 0.000, 0.000], [0.000, 2.072, 5.542], [0.000, -2.072, 5.542]],
  "species": ["Y", "Y", "Cu", "Te"],
  "fractional_positions": [[0.000, 0.000, 0.000], [0.500, 0.295, 0.295], [0.500, 0.552, 0.552], [0.000, 0.717, 0.717]]
}



{
  "formula": "LiYMn2",
  "functional": "SCAN",
  "state": "PBEsol geometry",
  "de_polymorph_ev_per_atom": 0.150,
  "spacegroup": "R-3m (166)",
  "delta_e_f_ev_per_atom": 0.32,
  "lattice_angstrom": [[1.523, 0.879, 9.288], [-1.523, 0.879, 9.288], [0.000, -1.759, 9.288]],
  "species": ["Li", "Y", "Mn", "Mn"],
  "fractional_positions": [[0.000, 0.000, 0.000], [0.500, 0.500, 0.500], [0.254, 0.254, 0.254], [0.746, 0.746, 0.746]]
}



{
  "formula": "KAsPb",
  "functional": "SCAN",
  "state": "PBEsol geometry",
  "spacegroup": "F-43m (216)",
  "delta_e_f_ev_per_atom": -0.20,
  "lattice_angstrom": [[0.000, 3.660, 3.660], [3.660, 0.000, 3.660], [3.660, 3.660, 0.000]],
  "species": ["K", "As", "Pb"],
  "fractional_positions": [[0.000, 0.000, 0.000], [0.250, 0.250, 0.250], [0.500, 0.500, 0.500]]
}



{
  "formula": "Sr2TlPb",
  "functional": "SCAN",
  "state": "PBEsol geometry",
  "spacegroup": "Fm-3m (225)",
  "delta_e_f_ev_per_atom": -0.70,
  "lattice_angstrom": [[0.000, 4.027, 4.027], [4.027, 0.000, 4.027], [4.027, 4.027, 0.000]],
  "species": ["Sr", "Sr", "Tl", "Pb"],
  "fractional_positions": [[0.250, 0.250, 0.250], [0.750, 0.750, 0.750], [0.000, 0.000, 0.000], [0.500, 0.500, 0.500]]
}



| no. | DOS at the Fermi energy (states/eV per cell) |
| --- | --- |
| 1 | 2.69 |
| 2 | 3.22 |
| 3 | 1.16 |
| 4 | 2.54 |